Entry 1:
This record from Alexandria via LeMat-Bulk describes a relaxed LuAg2Pd crystal. The functional is PBE-GGA.

Properties
energy above the most stable polymorph in this dataset = 51 meV per atom
space group = No. 225
DOS(E_F) = 1.725 states/eV per cell
calculated volume = 76.1 Å³/cell
energy relative to the elements = -356 meV per atom

Cell: 4.757 4.757 4.757 Å, 60.00 60.00 60.00°
Sites, in units of the cell vectors:
Lu 0.000 0.000 0.000
Ag 0.250 0.250 0.250
Ag 0.750 0.750 0.750
Pd 0.500 0.500 0.500

Entry 2:
This record from Alexandria via LeMat-Bulk describes a relaxed MgReN2 crystal. The functional is PBE-GGA.

Properties
space group = No. 122
DOS(E_F) = 2.871 states/eV per cell
formation energy (no corrections) = -0.15 eV per atom
calculated volume = 103.5 Å³/cell

Cell: 5.788 5.788 5.788 Å, 132.48 132.48 69.47°
Sites, in units of the cell vectors:
Mg 0.000 0.000 0.000
Mg 0.750 0.250 0.500
Re 0.250 0.750 0.500
Re 0.500 0.500 0.000
N 0.157 0.625 0.032
N 0.375 0.407 0.532
N 0.593 0.125 0.968
N 0.875 0.843 0.468

Entry 3:
This record from Alexandria via LeMat-Bulk describes a relaxed LiCaHo2 crystal. The functional is PBE-GGA.

Properties
energy above the most stable polymorph in this dataset = 123 meV per atom
space group = No. 166
DOS(E_F) = 4.981 states/eV per cell
calculated volume = 123.9 Å³/cell
energy relative to the elements = 289 meV per atom

Cell: 12.243 12.243 12.243 Å, 16.16 16.16 16.16°
Sites, in units of the cell vectors:
Li 0.000 0.000 0.000
Ca 0.500 0.500 0.500
Ho 0.407 0.407 0.407
Ho 0.593 0.593 0.593